(1)
The following is a PBE-GGA calculation of an optimized crystal structure of Tl6Hg3TeSe2, from Alexandria via LeMat-Bulk.

Cell and atoms, written as extended XYZ:
```
12
Lattice="-1.1689 -7.9993 -0.2843 7.3327 2.9868 -1.6576 -0.1261 1.0765 7.8308" Properties=species:S:1:pos:R:3 pbc="T T T"
Se 1.6475 -4.3599 -0.7392
Tl 4.3967 -3.3716 0.2462
Tl 3.0527 -4.8614 4.8983
Hg 0.0691 -5.7798 3.4209
Tl 0.0022 -2.9291 1.4724
Hg 5.9685 1.8437 2.4680
Tl 1.6409 -0.5645 5.6426
Te 0.0000 0.0000 0.0000
Tl 6.0354 -1.0070 4.4165
Hg 3.0188 -1.9680 2.9444
Se 4.5163 -0.6527 -1.2027
Tl 2.9849 0.9254 0.9906
```

Properties
- spin magnetization (μB/f.u.) = 0.0
- D(E_F) (states/eV/cell) = 0.95
- SG = C2/m, No. 12
- total DFT energy (no corrections) (eV/cell) = -28.2
- formation energy without anion corrections (meV/atom) = -248

=====

(2)
The following is a PBE-GGA calculation of an optimized crystal structure of Tl2Hg2Te2Se, from Alexandria via LeMat-Bulk.

Cell and atoms, written as extended XYZ:
```
7
Lattice="4.6444 0.3935 0.1157 2.9393 7.5622 0.9670 0.3946 2.9394 7.4347" Properties=species:S:1:pos:R:3 pbc="T T T"
Se 0.0000 0.0000 0.0000
Tl 5.0847 7.8820 3.1852
Hg 5.2320 6.0229 7.1247
Te 2.8000 6.9249 5.8470
Te 5.1784 3.9701 2.6704
Tl 2.8937 3.0130 5.3322
Hg 2.7464 4.8721 1.3927
```

Properties
- spin magnetization (μB/f.u.) = 0.0
- SG = P-1, No. 2
- total DFT energy (no corrections) (eV/cell) = -16.5
- formation energy without anion corrections (meV/atom) = -204

=====

(3)
The following is a PBE-GGA calculation of an optimized crystal structure of Tm4HgTeSe2, from Alexandria via LeMat-Bulk.

Cell and atoms, written as extended XYZ:
```
8
Lattice="3.9956 0.0000 0.0000 0.0000 7.3603 -0.2894 0.0000 2.4533 6.8223" Properties=species:S:1:pos:R:3 pbc="T T T"
Hg 0.0000 4.9068 3.2665
Se 0.0000 2.4533 6.8223
Tm 3.9956 2.3713 1.7641
Tm 1.9979 6.2049 1.5073
Se 1.9978 1.2267 3.4112
Tm 0.0001 7.4423 4.7688
Te 1.9978 3.6802 -0.1447
Tm 1.9978 3.6088 5.0255
```

Properties
- spin magnetization (μB/f.u.) = 0.0
- D(E_F) (states/eV/cell) = 3.11
- SG = P2/m, No. 10
- total DFT energy (no corrections) (eV/cell) = -38.1
- formation energy without anion corrections (meV/atom) = -1225

=====

(4)
The following is a PBE-GGA calculation of an optimized crystal structure of Tm6Hg2TeSe3, from Alexandria via LeMat-Bulk.

Cell and atoms, written as extended XYZ:
```
12
Lattice="-1.4697 0.0366 3.7007 0.1111 -8.6289 0.1294 8.8459 3.3568 1.3375" Properties=species:S:1:pos:R:3 pbc="T T T"
Se 4.8074 1.1496 4.0401
Se 2.6800 -6.3851 1.1275
Tm 5.3579 -5.4428 2.1816
Tm 2.1296 0.2072 2.9860
Tm 0.1804 -2.3059 0.0944
Hg 3.0370 -2.0942 1.2268
Tm 1.8725 -4.3412 2.9289
Tm 5.6150 -0.8944 2.2387
Se -0.6793 -4.2962 1.9151
Te -0.7348 0.0183 1.8503
Hg 4.4505 -3.1413 3.9408
Tm 7.3070 -2.9297 5.0731
```

Properties
- spin magnetization (μB/f.u.) = 0.0
- D(E_F) (states/eV/cell) = 4.92
- SG = C2/m, No. 12
- total DFT energy (no corrections) (eV/cell) = -55.3
- formation energy without anion corrections (meV/atom) = -1193

=====

(5)
The following is a PBE-GGA calculation of an optimized crystal structure of Y4HgTeSe2, from Alexandria via LeMat-Bulk.

Cell and atoms, written as extended XYZ:
```
8
Lattice="4.0871 0.0000 0.0000 0.0000 7.4446 -0.2759 0.0000 2.4969 6.8853" Properties=species:S:1:pos:R:3 pbc="T T T"
Te 2.0436 3.7223 -0.1380
Y 0.0001 7.5524 4.8440
Se 0.0000 2.4969 6.8853
Y 2.0436 3.6486 5.0995
Y 2.0436 6.2929 1.5098
Hg 0.0000 4.9707 3.3047
Y 4.0871 2.3891 1.7654
Se 2.0436 1.2485 3.4426
```

Properties
- spin magnetization (μB/f.u.) = 0.0
- D(E_F) (states/eV/cell) = 3.51
- SG = P2/m, No. 10
- total DFT energy (no corrections) (eV/cell) = -46.9
- formation energy without anion corrections (meV/atom) = -1328

=====

(6)
The following is a PBE-GGA calculation of an optimized crystal structure of Y4HgTe2Se, from Alexandria via LeMat-Bulk.

Cell and atoms, written as extended XYZ:
```
8
Lattice="-2.9584 -0.1772 -2.9431 4.4399 -4.4031 -4.1978 -1.3915 -7.1437 1.8287" Properties=species:S:1:pos:R:3 pbc="T T T"
Y -2.0841 -3.1007 -3.6459
Te -2.1749 -3.6604 -0.5573
Se 0.7408 -2.2902 -3.5705
Hg 1.5242 -5.7734 -1.1846
Te -1.3915 -7.1436 1.8286
Y -1.3402 -6.5779 -1.2207
Y 1.4303 -5.1460 -4.0917
Y 2.1742 -8.6233 -1.6664
```

Properties
- spin magnetization (μB/f.u.) = 0.0
- D(E_F) (states/eV/cell) = 3.49
- SG = P2/m, No. 10
- total DFT energy (no corrections) (eV/cell) = -45.8
- formation energy without anion corrections (meV/atom) = -1232

=====

(7)
The following is a PBE-GGA calculation of an optimized crystal structure of Y8Hg3Te4Se, from Alexandria via LeMat-Bulk.

Cell and atoms, written as extended XYZ:
```
16
Lattice="-3.8209 0.9360 -7.5270 7.5692 -1.9287 -4.0821 -3.0962 -5.4991 5.6794" Properties=species:S:1:pos:R:3 pbc="T T T"
Se 3.7846 -0.9643 -2.0411
Hg 0.3261 -3.2459 -2.9649
Hg 1.8742 -0.4963 -5.8046
Te -3.4585 -2.2816 -0.9238
Y 1.0137 -0.3145 -2.9251
Y 3.1321 -3.8729 -2.0715
Y 1.5683 -6.6501 0.7970
Te 0.0000 0.0000 0.0000
Te -1.9104 0.4680 -3.7635
Y -0.3616 -6.1773 -3.0047
Y -2.4800 -2.6189 -3.8582
Hg 2.2365 -3.7139 0.7986
Y -0.5858 -3.0293 -0.0793
Y 1.2379 -3.4625 -5.8504
Y -0.9161 0.1583 -6.7268
Te -1.5481 -2.7496 2.8397
```

Properties
- spin magnetization (μB/f.u.) = 0.0
- D(E_F) (states/eV/cell) = 10.10
- SG = R-3m, No. 166
- total DFT energy (no corrections) (eV/cell) = -85.4
- formation energy without anion corrections (meV/atom) = -1048

=====

(8)
The following is a PBE-GGA calculation of an optimized crystal structure of Y6Hg3TeSe2, from Alexandria via LeMat-Bulk.

Cell and atoms, written as extended XYZ:
```
12
Lattice="4.0304 0.0000 0.0000 0.0000 9.0245 -0.2506 -2.0152 -3.1971 9.0686" Properties=species:S:1:pos:R:3 pbc="T T T"
Y 2.0152 -0.2371 3.0509
Se 0.0000 1.8984 2.9737
Hg 0.0000 6.3902 2.7178
Hg 2.0152 4.5122 -0.1253
Se 2.0152 3.9289 5.8442
Y 0.0000 1.8066 5.8611
Y 0.0000 2.2541 0.0835
Y 2.0152 3.5733 8.7344
Hg 2.0152 -0.5629 6.1002
Y 0.0000 6.0644 5.7671
Y 2.0152 4.0207 2.9568
Te 2.0152 0.0000 0.0000
```

Properties
- spin magnetization (μB/f.u.) = 0.0
- D(E_F) (states/eV/cell) = 6.20
- SG = C2/m, No. 12
- total DFT energy (no corrections) (eV/cell) = -62.2
- formation energy without anion corrections (meV/atom) = -1035

=====

(9)
The following is a PBE-GGA calculation of an optimized crystal structure of ZnHg2TeSe, from Alexandria via LeMat-Bulk.

Cell and atoms, written as extended XYZ:
```
5
Lattice="5.7818 0.0000 0.0000 0.0000 5.5406 0.0000 0.0000 0.0000 5.7818" Properties=species:S:1:pos:R:3 pbc="T T T"
Hg 2.8909 0.0000 0.0000
Te 0.0000 0.0000 0.0000
Zn 2.8909 2.7703 2.8909
Hg 0.0000 0.0000 2.8909
Se 0.0000 2.7703 0.0000
```

Properties
- spin magnetization (μB/f.u.) = 0.0
- D(E_F) (states/eV/cell) = 1.53
- SG = P4/mmm, No. 123
- total DFT energy (no corrections) (eV/cell) = -6.9
- formation energy without anion corrections (meV/atom) = 327

=====

(10)
The following is a PBE-GGA calculation of an optimized crystal structure of Th2HgSe, from Alexandria via LeMat-Bulk.

Cell and atoms, written as extended XYZ:
```
4
Lattice="-2.3290 2.6491 -1.8187 -3.8601 -0.7693 -0.5073 -3.7595 4.2378 6.6574" Properties=species:S:1:pos:R:3 pbc="T T T"
Hg -4.9740 3.0582 2.1645
Th -3.3819 3.4339 5.0028
Se -4.1267 1.2545 -1.5478
Th -2.4403 1.4297 0.8777
```

Properties
- ΔE to the lowest computed polymorph (meV per atom) = 35.6
- spin magnetization (μB/f.u.) = 0.0
- D(E_F) (states/eV/cell) = 3.85
- SG = R3m, No. 160
- total DFT energy (no corrections) (eV/cell) = -21.6
- formation energy without anion corrections (meV/atom) = -747

=====

(11)
The following is a PBE-GGA calculation of an optimized crystal structure of Th2HgSe, from Alexandria via LeMat-Bulk.

Cell and atoms, written as extended XYZ:
```
4
Lattice="3.5718 0.0000 0.0000 0.0000 3.5718 0.0000 0.0000 0.0000 8.1742" Properties=species:S:1:pos:R:3 pbc="T T T"
Se 1.7859 1.7859 0.0000
Th 0.0000 0.0000 6.2670
Th 0.0000 0.0000 1.9072
Hg 1.7859 1.7859 4.0871
```

Properties
- ΔE to the lowest computed polymorph (meV per atom) = 14.8
- spin magnetization (μB/f.u.) = 0.0
- D(E_F) (states/eV/cell) = 4.31
- SG = P4/mmm, No. 123
- total DFT energy (no corrections) (eV/cell) = -21.7
- formation energy without anion corrections (meV/atom) = -768

=====

(12)
The following is a PBE-GGA calculation of an optimized crystal structure of ThHgSe2, from Alexandria via LeMat-Bulk.

Cell and atoms, written as extended XYZ:
```
4
Lattice="4.3408 0.0000 0.0000 2.1704 3.7592 0.0000 2.1704 1.2531 9.5747" Properties=species:S:1:pos:R:3 pbc="T T T"
Se 2.1704 1.2531 8.0760
Se 2.1704 1.2531 1.5200
Th 4.3408 2.5061 0.0146
Hg 4.3408 2.5061 4.7514
```

Properties
- spin magnetization (μB/f.u.) = 0.0
- D(E_F) (states/eV/cell) = 0.00
- SG = R3m, No. 160
- total DFT energy (no corrections) (eV/cell) = -19.6
- formation energy without anion corrections (meV/atom) = -1238

=====

(13)
The following is a PBE-GGA calculation of an optimized crystal structure of ThHgSe2, from Alexandria via LeMat-Bulk.

Cell and atoms, written as extended XYZ:
```
4
Lattice="4.3358 0.0000 0.0000 2.1679 3.7549 0.0000 2.1679 1.2516 9.6314" Properties=species:S:1:pos:R:3 pbc="T T T"
Hg 4.3358 2.5033 4.8157
Th 0.0000 0.0000 0.0000
Se 6.5037 3.7549 8.1170
Se 2.1679 1.2516 1.5144
```

Properties
- spin magnetization (μB/f.u.) = 0.0
- D(E_F) (states/eV/cell) = 0.00
- SG = R-3m, No. 166
- total DFT energy (no corrections) (eV/cell) = -19.6
- formation energy without anion corrections (meV/atom) = -1238

=====

(14)
The following is a PBE-GGA calculation of an optimized crystal structure of ThHgSe3, from Alexandria via LeMat-Bulk.

Cell and atoms, written as extended XYZ:
```
10
Lattice="4.2676 -0.0001 0.0001 -2.1338 7.2438 0.2951 -0.0006 -0.1172 9.0102" Properties=species:S:1:pos:R:3 pbc="T T T"
Se -0.0693 5.7167 5.8876
Th -0.0721 5.9405 2.9663
Se 2.0618 4.1167 3.5534
Hg 2.0653 6.1939 7.3420
Hg -0.0693 1.9995 5.8070
Se -0.0715 1.0367 3.3235
Th 2.0616 2.3700 1.1727
Se 4.1962 0.0299 0.5202
Se -0.0719 4.1937 0.5859
Se 2.0639 2.4766 7.2616
```

Properties
- spin magnetization (μB/f.u.) = 0.0
- D(E_F) (states/eV/cell) = 0.11
- SG = C2/m, No. 12
- total DFT energy (no corrections) (eV/cell) = -46.5
- formation energy without anion corrections (meV/atom) = -1018